Entry from Alexandria via LeMat-Bulk: an optimized crystal structure of Ba2AlTlCr2O7 (GGA+U).

Cell and atoms, written as POSCAR:
```
Ba2AlTlCr2O7
1.0
3.827 0.000 0.000
0.000 3.827 0.000
0.000 0.000 13.280
Ba Al Tl Cr O
2 1 1 2 7
Direct
0.000 0.000 0.198
0.000 0.000 0.802
0.000 0.000 0.500
0.500 0.500 0.000
0.500 0.500 0.371
0.500 0.500 0.629
0.000 0.000 0.000
0.000 0.500 0.406
0.000 0.500 0.594
0.500 0.000 0.406
0.500 0.000 0.594
0.500 0.500 0.225
0.500 0.500 0.775
```

Output
The value obtained for the density of states at the Fermi level is 2.2 states/eV per cell. Its symmetry is P4/mmm. Its raw total energy is -0.23730 Ha/atom.